Record 1
Here is a geometry-optimized ScMnAl structure from the Alexandria database. Energies are from PBE-GGA.

Formation energy from the elements (eV per atom): 0.22
Total moment (μB per cell): 3.2

a = 4.4014 Å, b = 4.4014 Å, c = 4.4014 Å
α = 60.00°, β = 60.00°, γ = 60.00°
Closest atoms and distances in Å follow each position.
Atoms (fractional coordinates):
Al (0.5000, 0.5000, 0.5000)  4 Mn 2.70
Mn (0.2500, 0.2500, 0.2500)  4 Sc 2.70, 4 Al 2.70
Sc (0.0000, 0.0000, 0.0000)  4 Mn 2.70

---

Record 2
Here is a geometry-optimized ScMn3Al structure from the Alexandria database. Energies are from PBE-GGA.

Formation energy from the elements (eV per atom): 0.70
Total moment (μB per cell): 8.3

a = 4.5177 Å, b = 4.5177 Å, c = 4.5177 Å
α = 90.00°, β = 90.00°, γ = 90.00°
Closest atoms and distances in Å follow each position.
Atoms (fractional coordinates):
Mn (0.5000, 0.0000, 0.0000)  2 Al 2.26
Mn (0.0000, 0.5000, 0.0000)  2 Al 2.26
Mn (0.0000, 0.0000, 0.5000)  2 Al 2.26
Al (0.0000, 0.0000, 0.0000)  6 Mn 2.26
Sc (0.5000, 0.5000, 0.5000)  12 Mn 3.19

---

Record 3
Here is a geometry-optimized ScMn9Al2 structure from the Alexandria database. Energies are from PBE-GGA.

Formation energy from the elements (eV per atom): -0.03
Total moment (μB per cell): 0.0

a = 4.7534 Å, b = 4.7534 Å, c = 8.1691 Å
α = 73.09°, β = 73.09°, γ = 60.00°
Closest atoms and distances in Å follow each position.
Atoms (fractional coordinates):
Al (0.8578, 0.8578, 0.4267)  12 Mn 2.71-2.80, 3 Al 2.97
Al (0.1422, 0.1422, 0.5733)  12 Mn 2.71-2.80, 3 Al 2.97
Mn (0.3409, 0.3409, 0.9772)  6 Mn 2.30-2.52
Mn (0.6590, 0.6590, 0.0228)  6 Mn 2.30-2.52
Mn (0.5932, 0.5932, 0.7432)  7 Mn 2.27-2.52
Mn (0.4068, 0.4068, 0.2568)  7 Mn 2.27-2.52
Mn (0.0703, 0.5932, 0.7432)  7 Mn 2.27-2.52
Mn (0.5000, 0.5000, 0.5000)  6 Mn 2.36
Mn (0.9297, 0.4068, 0.2568)  7 Mn 2.27-2.52
Mn (0.4068, 0.9297, 0.2568)  7 Mn 2.27-2.52
Mn (0.5932, 0.0703, 0.7432)  7 Mn 2.27-2.52
Sc (0.0000, 0.0000, 0.0000)  6 Mn 2.75

---

Record 4
Here is a geometry-optimized Sc4Mn3Al16 structure from the Alexandria database. Energies are from PBE-GGA.

Formation energy from the elements (eV per atom): -0.32
Total moment (μB per cell): 5.1

a = 5.9405 Å, b = 5.9405 Å, c = 11.0897 Å
α = 90.00°, β = 90.00°, γ = 90.00°
Closest atoms and distances in Å follow each position.
Atoms (fractional coordinates):
Al (0.2513, 0.2513, 0.3755)  2 Mn 2.51, 2 Al 2.76-2.79
Al (0.5000, 0.5000, 0.1918)  8 Al 2.83-2.92, 4 Sc 2.97
Al (0.7487, 0.7487, 0.3755)  2 Mn 2.51, 2 Al 2.76-2.79
Al (0.7487, 0.2513, 0.6245)  2 Mn 2.51, 2 Al 2.76-2.79
Al (0.7227, 0.2773, 0.0000)  1 Mn 2.33
Al (0.2773, 0.2773, 0.0000)  1 Mn 2.33
Al (0.2773, 0.7227, 0.0000)  1 Mn 2.33
Al (0.2513, 0.7487, 0.6245)  2 Mn 2.51, 2 Al 2.76-2.79
Al (0.5000, 0.5000, 0.8082)  8 Al 2.83-2.92, 4 Sc 2.97
Al (0.7227, 0.7227, 0.0000)  1 Mn 2.33
Al (0.0000, 0.0000, 0.2110)  1 Mn 2.34
Al (0.2513, 0.7487, 0.3755)  2 Mn 2.51, 2 Al 2.76-2.79
Al (0.0000, 0.0000, 0.7890)  1 Mn 2.34
Al (0.7487, 0.2513, 0.3755)  2 Mn 2.51, 2 Al 2.76-2.79
Al (0.7487, 0.7487, 0.6245)  2 Mn 2.51, 2 Al 2.76-2.79
Al (0.2513, 0.2513, 0.6245)  2 Mn 2.51, 2 Al 2.76-2.79
Mn (0.0000, 0.5000, 0.5000)  8 Al 2.51
Mn (0.5000, 0.0000, 0.5000)  8 Al 2.51
Mn (0.0000, 0.0000, 0.0000)  6 Al 2.33-2.34
Sc (0.0000, 0.5000, 0.1858)  12 Al 2.95-2.98
Sc (0.5000, 0.0000, 0.1858)  12 Al 2.95-2.98
Sc (0.5000, 0.0000, 0.8142)  12 Al 2.95-2.98
Sc (0.0000, 0.5000, 0.8142)  12 Al 2.95-2.98

---

Record 5
Here is a geometry-optimized Sc2Mn4Al structure from the Alexandria database. Energies are from PBE-GGA.

Formation energy from the elements (eV per atom): 0.65
Total moment (μB per cell): 11.3

a = 4.3843 Å, b = 4.3843 Å, c = 7.7363 Å
α = 73.54°, β = 73.54°, γ = 90.00°
Closest atoms and distances in Å follow each position.
Atoms (fractional coordinates):
Al (0.0000, 0.0000, 0.0000)  4 Mn 2.19
Sc (0.6157, 0.6157, 0.7687)  5 Mn 2.74-2.97
Sc (0.3843, 0.3843, 0.2313)  5 Mn 2.74-2.97
Mn (0.0000, 0.5000, 0.0000)  2 Al 2.19
Mn (0.5000, 0.0000, 0.0000)  2 Al 2.19
Mn (0.1751, 0.1751, 0.6498)  1 Al 2.48
Mn (0.8249, 0.8249, 0.3502)  1 Al 2.48

---

Record 6
Here is a geometry-optimized ScMnAl2 structure from the Alexandria database. Energies are from PBE-GGA.

Formation energy from the elements (eV per atom): -0.18
Total moment (μB per cell): 2.2

a = 5.0835 Å, b = 5.0835 Å, c = 5.0835 Å
α = 136.50°, β = 131.65°, γ = 67.05°
Closest atoms and distances in Å follow each position.
Atoms (fractional coordinates):
Al (0.9956, 0.9956, 0.0000)  4 Mn 2.81, 4 Al 2.82-2.99, 4 Sc 2.89-2.92
Al (0.7484, 0.2484, 0.5000)  4 Sc 2.81, 4 Mn 2.81-2.99, 4 Al 2.82-2.99
Sc (0.2538, 0.7538, 0.5000)  8 Al 2.81-2.92, 4 Mn 2.83-2.98
Mn (0.5022, 0.5022, 0.0000)  8 Al 2.81-2.99, 4 Sc 2.83-2.98

---

Record 7
Here is a geometry-optimized Sc3MnAl structure from the Alexandria database. Energies are from PBE-GGA.

Formation energy from the elements (eV per atom): 0.21
Total moment (μB per cell): 0.0

a = 4.7938 Å, b = 4.7938 Å, c = 4.7938 Å
α = 90.00°, β = 90.00°, γ = 90.00°
Closest atoms and distances in Å follow each position.
Atoms (fractional coordinates):
Sc (0.5000, 0.0000, 0.0000)  2 Mn 2.40
Sc (0.0000, 0.5000, 0.0000)  2 Mn 2.40
Sc (0.0000, 0.0000, 0.5000)  2 Mn 2.40
Mn (0.0000, 0.0000, 0.0000)  6 Sc 2.40
Al (0.5000, 0.5000, 0.5000)  12 Sc 3.39

---

Record 8
Here is a geometry-optimized ScMnAl2 structure from the Alexandria database. Energies are from PBE-GGA.

Formation energy from the elements (eV per atom): -0.23
Total moment (μB per cell): 2.1

a = 4.4849 Å, b = 4.4849 Å, c = 4.4849 Å
α = 60.00°, β = 60.00°, γ = 60.00°
Closest atoms and distances in Å follow each position.
Atoms (fractional coordinates):
Al (0.2500, 0.2500, 0.2500)  4 Mn 2.75, 4 Sc 2.75
Al (0.7500, 0.7500, 0.7500)  4 Sc 2.75, 4 Mn 2.75
Sc (0.0000, 0.0000, 0.0000)  8 Al 2.75
Mn (0.5000, 0.5000, 0.5000)  8 Al 2.75

---

Record 9
Here is a geometry-optimized Sc2MnAl3 structure from the Alexandria database. Energies are from PBE-GGA.

Formation energy from the elements (eV per atom): -0.44
Total moment (μB per cell): 2.7

a = 5.3508 Å, b = 5.3508 Å, c = 5.2383 Å
α = 89.98°, β = 120.73°, γ = 120.01°
Closest atoms and distances in Å follow each position.
Atoms (fractional coordinates):
Al (0.0000, 0.0000, 0.5000)  2 Mn 2.62, 4 Al 2.68
Al (0.5000, 0.0000, 0.5000)  2 Mn 2.62, 4 Al 2.68
Al (0.5000, 0.5000, 0.5000)  2 Mn 2.62, 4 Al 2.68
Mn (0.0000, 0.0000, 0.0000)  6 Al 2.62
Sc (0.2548, 0.6273, 0.8820)  9 Al 3.04-3.13, 3 Mn 3.13, 4 Sc 3.23-3.25
Sc (0.7452, 0.3727, 0.1180)  9 Al 3.04-3.13, 3 Mn 3.13, 4 Sc 3.23-3.25

---

Record 10
Here is a geometry-optimized ScMn2AlSe structure from the Alexandria database. Energies are from PBE-GGA.

Total moment (μB per cell): 6.0
Energy relative to the elements, uncorrected (kJ per mole of atoms): 54.0

a = 4.6098 Å, b = 4.9649 Å, c = 4.6098 Å
α = 90.00°, β = 90.00°, γ = 90.00°
Closest atoms and distances in Å follow each position.
Atoms (fractional coordinates):
Se (0.0000, 0.5000, 0.0000)  2 Al 2.48
Al (0.0000, 0.0000, 0.0000)  4 Mn 2.30, 2 Se 2.48
Mn (0.0000, 0.0000, 0.5000)  2 Al 2.30
Mn (0.5000, 0.0000, 0.0000)  2 Al 2.30
Sc (0.5000, 0.5000, 0.5000)  4 Se 3.26, 8 Mn 3.39

---

Record 11
Here is a geometry-optimized SmScMnAl structure from the Alexandria database. Energies are from PBE-GGA.

Formation energy from the elements (eV per atom): -0.07
Total moment (μB per cell): 3.1

a = 4.9765 Å, b = 4.9765 Å, c = 4.9765 Å
α = 60.00°, β = 60.00°, γ = 60.00°
Closest atoms and distances in Å follow each position.
Atoms (fractional coordinates):
Mn (0.7500, 0.7500, 0.7500)  4 Sm 3.05, 4 Sc 3.05
Sm (0.5000, 0.5000, 0.5000)  4 Mn 3.05, 4 Al 3.05
Sc (0.0000, 0.0000, 0.0000)  4 Al 3.05, 4 Mn 3.05
Al (0.2500, 0.2500, 0.2500)  4 Sm 3.05, 4 Sc 3.05

---

Record 12
Here is a geometry-optimized ThScMnAl structure from the Alexandria database. Energies are from PBE-GGA.

Formation energy from the elements (eV per atom): -0.03
Total moment (μB per cell): 2.7

a = 4.9863 Å, b = 4.9863 Å, c = 4.9863 Å
α = 60.00°, β = 60.00°, γ = 60.00°
Closest atoms and distances in Å follow each position.
Atoms (fractional coordinates):
Sc (0.0000, 0.0000, 0.0000)  4 Mn 3.05, 4 Al 3.05
Th (0.5000, 0.5000, 0.5000)  4 Al 3.05, 4 Mn 3.05
Al (0.2500, 0.2500, 0.2500)  4 Th 3.05, 4 Sc 3.05
Mn (0.7500, 0.7500, 0.7500)  4 Sc 3.05, 4 Th 3.05

---

Record 13
Here is a geometry-optimized Sc2MnAlV structure from the Alexandria database. Energies are from PBE-GGA.

Formation energy from the elements (eV per atom): 0.57
Total moment (μB per cell): 1.5

a = 4.9827 Å, b = 4.1724 Å, c = 4.9827 Å
α = 90.00°, β = 90.00°, γ = 90.00°
Closest atoms and distances in Å follow each position.
Atoms (fractional coordinates):
Sc (0.5000, 0.0000, 0.0000)  2 V 2.49
Sc (0.0000, 0.0000, 0.5000)  2 V 2.49
Mn (0.0000, 0.5000, 0.0000)  2 V 2.09
V (0.0000, 0.0000, 0.0000)  2 Mn 2.09
Al (0.5000, 0.5000, 0.5000)  8 Sc 3.25, 4 Mn 3.52

---

Number 1: density of states at the Fermi level 1.832 states/eV/atom. Number 2: density of states at the Fermi level 1.239 states/eV/atom. Number 3: density of states at the Fermi level 1.336 states/eV/atom. Number 4: density of states at the Fermi level 0.533 states/eV/atom. Number 5: density of states at the Fermi level 0.918 states/eV/atom. Number 6: density of states at the Fermi level 0.763 states/eV/atom. Number 7: density of states at the Fermi level 1.465 states/eV/atom. Number 8: density of states at the Fermi level 1.057 states/eV/atom. Number 9: density of states at the Fermi level 0.787 states/eV/atom. Number 10: density of states at the Fermi level 1.180 states/eV/atom. Number 11: density of states at the Fermi level 1.069 states/eV/atom. Number 12: density of states at the Fermi level 0.816 states/eV/atom. Number 13: density of states at the Fermi level 0.994 states/eV/atom.